[1]
Computed, not measured: crystalline HSeCl3 at its relaxed geometry at the GGA-PBE level of DFT.

The crystal system is cubic.

The structure belongs to space group Pm-3m (No. 221); the cell edges are 4.348, 4.348 and 4.348 Å and the angles 90.00°, 90.00° and 90.00°. The asymmetric unit holds H at (0.000, 0.000, 0.000), Se at (0.500, 0.500, 0.500) and Cl at (0.000, 0.000, 0.500).

=====

[2]
Computed, not measured: crystalline HSeCl3 at its relaxed geometry at the GGA-PBE level of DFT.

The crystal system is triclinic.

The structure belongs to space group P1 (No. 1); the cell edges are 7.083, 7.323 and 7.574 Å and the angles 64.60°, 89.00° and 77.62°. The asymmetric unit holds H at (0.000, 0.000, 0.000), H at (0.194, 0.166, 0.213), Se at (0.431, 0.801, 0.065), Se at (0.675, 0.777, 0.348), Cl at (0.149, 0.830, 0.881), Cl at (0.337, 0.207, 0.285), Cl at (0.484, 0.592, 0.538), Cl at (0.573, 0.987, 0.816), Cl at (0.911, 0.108, 0.097) and Cl at (0.936, 0.533, 0.398).

=====

Number 1: excess energy over the best structure of this formula in the dataset 491 kJ/mol of formula units, energy -8.96 eV for the cell shown, DOS at the Fermi energy 0.465 states/eV per atom. Number 2: excess energy over the best structure of this formula in the dataset 0 kJ/mol of formula units, energy -28.09 eV for the cell shown, DOS at the Fermi energy 0.000 states/eV per atom.